## SiMoI2O (PBE with a Hubbard U)

Data for a relaxed SiMoI2O crystal.

The structure belongs to space group P4/mmm (No. 123); the cell edges are 5.809, 5.809 and 3.574 Å and the angles 90.00°, 90.00° and 90.00°. The inequivalent atoms are Si at (0.000, 0.000, 0.000), Mo at (0.500, 0.500, 0.500), I at (0.000, 0.500, 0.000) and O at (0.000, 0.000, 0.500).

The density of states at the Fermi level is 1.238 states/eV/f.u. As for the spin magnetization: 4.92 μB/cell. Its crystal system is tetragonal. As for the offset from the most stable computed form: 0.000 eV per atom.